Compound: HfScTl
Source: the Alexandria database
Functional: GGA-PBE
Structure: optimized geometry

Cell lengths 3.3556, 3.3556, 12.2935 Å; angles 90.00, 90.00, 90.00 degrees
Last column: nearest neighbours and their distance in Å.
Atoms (fractional coordinates):
Hf 0.0000 0.0000 0.0000  4 Sc 3.12, 4 Tl 3.15, 4 Hf 3.36
Hf 0.5000 0.5000 0.5000  4 Sc 3.12, 4 Tl 3.15, 4 Hf 3.36
Sc 0.0000 0.0000 0.6651  4 Hf 3.12, 4 Tl 3.13, 4 Sc 3.36
Sc 0.5000 0.5000 0.1651  4 Hf 3.12, 4 Tl 3.13, 4 Sc 3.36
Tl 0.0000 0.0000 0.3313  4 Sc 3.13, 4 Hf 3.15, 4 Tl 3.36
Tl 0.5000 0.5000 0.8313  4 Sc 3.13, 4 Hf 3.15, 4 Tl 3.36

Results
density of states at the Fermi level	5.1	states/eV per cell
final energy	-6.312	eV per atom
calculated volume	23.07	A^3/atom
size of the total moment	0.0	μB/cell